[1]
# Nd4DyRh5, optimized geometry, DFT PBE-GGA
data_Nd4DyRh5
_cell_length_a 3.554
_cell_length_b 3.554
_cell_length_c 17.267
_cell_angle_alpha 90.00
_cell_angle_beta 90.00
_cell_angle_gamma 90.00
_space_group_name_H-M_alt 'P 4/m m m'
_space_group_IT_number 123
_space_group_name_Hall '-P 4 2'
loop_
_atom_site_label
_atom_site_type_symbol
_atom_site_fract_x
_atom_site_fract_y
_atom_site_fract_z
Nd1 Nd 0.000 0.000 0.101
Nd2 Nd 0.000 0.000 0.303
Dy1 Dy 0.000 0.000 0.500
Rh1 Rh 0.500 0.500 0.000
Rh2 Rh 0.500 0.500 0.203
Rh3 Rh 0.500 0.500 0.406
# * spin magnetization: 0.000 μB per formula unit
# * energy: -6.72 eV/atom

[2]
# Nd3Dy2Rh2, optimized geometry, DFT PBE-GGA
data_Nd3Dy2Rh2
_cell_length_a 12.265
_cell_length_b 3.900
_cell_length_c 9.021
_cell_angle_alpha 90.00
_cell_angle_beta 115.38
_cell_angle_gamma 90.00
_space_group_name_H-M_alt 'C 1 2/m 1'
_space_group_IT_number 12
loop_
_space_group_symop_operation_xyz
'x,y,z'
'-x,-y,-z'
'-x,y,-z'
'x,-y,z'
'x+1/2,y+1/2,z'
'-x+1/2,-y+1/2,-z'
'-x+1/2,y+1/2,-z'
'x+1/2,-y+1/2,z'
loop_
_atom_site_label
_atom_site_type_symbol
_atom_site_fract_x
_atom_site_fract_y
_atom_site_fract_z
Nd1 Nd 0.000 0.000 0.000
Nd2 Nd 0.113 0.000 0.427
Dy1 Dy 0.171 0.500 0.813
Rh1 Rh 0.186 0.500 0.241
# * spin magnetization: 0.000 μB per formula unit
# * energy: -5.95 eV/atom

[3]
# Nd2DyRh2, optimized geometry, DFT PBE-GGA
data_Nd2DyRh2
_cell_length_a 11.383
_cell_length_b 4.129
_cell_length_c 6.410
_cell_angle_alpha 90.00
_cell_angle_beta 124.15
_cell_angle_gamma 90.00
_space_group_name_H-M_alt 'C 1 2/m 1'
_space_group_IT_number 12
loop_
_space_group_symop_operation_xyz
'x,y,z'
'-x,-y,-z'
'-x,y,-z'
'x,-y,z'
'x+1/2,y+1/2,z'
'-x+1/2,-y+1/2,-z'
'-x+1/2,y+1/2,-z'
'x+1/2,-y+1/2,z'
loop_
_atom_site_label
_atom_site_type_symbol
_atom_site_fract_x
_atom_site_fract_y
_atom_site_fract_z
Nd1 Nd 0.195 0.000 0.194
Dy1 Dy 0.000 0.000 0.500
Rh1 Rh 0.001 0.500 0.785
# * spin magnetization: 0.000 μB per formula unit
# * energy above the lowest structure with this stoichiometry: 0.0 kJ per mole of atoms
# * energy: -6.39 eV/atom

[4]
# Nd3DyRh2, optimized geometry, DFT PBE-GGA
data_Nd3DyRh2
_cell_length_a 16.596
_cell_length_b 4.293
_cell_length_c 11.224
_cell_angle_alpha 90.00
_cell_angle_beta 117.46
_cell_angle_gamma 90.00
_space_group_name_H-M_alt 'C 1 2/m 1'
_space_group_IT_number 12
loop_
_space_group_symop_operation_xyz
'x,y,z'
'-x,-y,-z'
'-x,y,-z'
'x,-y,z'
'x+1/2,y+1/2,z'
'-x+1/2,-y+1/2,-z'
'-x+1/2,y+1/2,-z'
'x+1/2,-y+1/2,z'
loop_
_atom_site_label
_atom_site_type_symbol
_atom_site_fract_x
_atom_site_fract_y
_atom_site_fract_z
Nd1 Nd 0.053 0.000 0.221
Nd2 Nd 0.164 0.500 0.025
Nd3 Nd 0.213 0.000 0.598
Dy1 Dy 0.074 0.500 0.665
Rh1 Rh 0.116 0.500 0.422
Rh2 Rh 0.138 0.000 0.839
# * spin magnetization: 0.000 μB per formula unit
# * energy: -6.12 eV/atom

[5]
# Nd3DyRh, optimized geometry, DFT PBE-GGA
data_Nd3DyRh
_cell_length_a 5.570
_cell_length_b 5.570
_cell_length_c 5.570
_cell_angle_alpha 90.00
_cell_angle_beta 90.00
_cell_angle_gamma 90.00
_space_group_name_H-M_alt 'P m -3 m'
_space_group_IT_number 221
_space_group_name_Hall '-P 4 2 3'
loop_
_atom_site_label
_atom_site_type_symbol
_atom_site_fract_x
_atom_site_fract_y
_atom_site_fract_z
Nd1 Nd 0.000 0.000 0.500
Dy1 Dy 0.500 0.500 0.500
Rh1 Rh 0.000 0.000 0.000
# * spin magnetization: 0.454 μB per formula unit
# * energy above the lowest structure with this stoichiometry: 19.6 kJ per mole of atoms
# * energy: -5.35 eV/atom

[6]
# Nd2DyRh3, optimized geometry, DFT PBE-GGA
data_Nd2DyRh3
_cell_length_a 4.957
_cell_length_b 14.883
_cell_length_c 7.004
_cell_angle_alpha 90.00
_cell_angle_beta 90.00
_cell_angle_gamma 90.00
_space_group_name_H-M_alt 'C m m m'
_space_group_IT_number 65
_space_group_name_Hall '-C 2 2'
loop_
_atom_site_label
_atom_site_type_symbol
_atom_site_fract_x
_atom_site_fract_y
_atom_site_fract_z
Nd1 Nd 0.000 0.000 0.000
Nd2 Nd 0.000 0.000 0.500
Nd3 Nd 0.000 0.333 0.000
Dy1 Dy 0.000 0.332 0.500
Rh1 Rh 0.000 0.170 0.260
Rh2 Rh 0.000 0.500 0.256
# * spin magnetization: 0.000 μB per formula unit
# * energy above the lowest structure with this stoichiometry: 0.0 kJ per mole of atoms
# * energy: -6.74 eV/atom